1.
Density functional theory data (PBE) for a geometry-optimized SrAcZn structure.

Cell: 7.7496 7.7496 7.7496 Å, 90.00 90.00 90.00°
Positions (direct):
Sr: 0.0000 0.0000 0.0000
Sr: 0.0000 0.5000 0.5000
Sr: 0.5000 0.0000 0.5000
Sr: 0.5000 0.5000 0.0000
Ac: 0.0000 0.0000 0.5000
Ac: 0.0000 0.5000 0.0000
Ac: 0.5000 0.0000 0.0000
Ac: 0.5000 0.5000 0.5000
Zn: 0.2500 0.2500 0.2500
Zn: 0.2500 0.7500 0.7500
Zn: 0.7500 0.2500 0.7500
Zn: 0.7500 0.7500 0.2500

Computed properties:
* DFT formation energy: 0.112 eV/f.u.
* size of the total moment: 0.00 μB/f.u.
* polymorph energy (0 for the lowest one): 0.169 eV per atom

***

2.
Density functional theory data (PBE) for a geometry-optimized Th3Zn6CuHg2 structure.

Cell: 5.8883 5.8883 8.7261 Å, 90.00 90.00 120.00°
Positions (direct):
Th: 0.0000 0.0000 0.0000
Th: 0.3333 0.6667 0.6051
Th: 0.6667 0.3333 0.3949
Zn: 0.1763 0.3526 0.2898
Zn: 0.1763 0.8237 0.2898
Zn: 0.3526 0.1763 0.7102
Zn: 0.6474 0.8237 0.2898
Zn: 0.8237 0.1763 0.7102
Zn: 0.8237 0.6474 0.7102
Cu: 0.0000 0.0000 0.5000
Hg: 0.3333 0.6667 0.9890
Hg: 0.6667 0.3333 0.0110

Computed properties:
* DFT formation energy: -1.048 eV/f.u.
* size of the total moment: 0.00 μB/f.u.

***

3.
Density functional theory data (PBE) for a geometry-optimized Pm2Pr5Sn4 structure.

Cell: 13.8274 13.8274 7.6372 Å, 91.84 91.84 14.91°
Positions (direct):
Pm: 0.0895 0.0895 0.3015
Pm: 0.9105 0.9105 0.6985
Pr: 0.1371 0.1371 0.8335
Pr: 0.2337 0.2337 0.2252
Pr: 0.5000 0.5000 0.0000
Pr: 0.7663 0.7663 0.7748
Pr: 0.8629 0.8629 0.1665
Sn: 0.0296 0.0296 0.6595
Sn: 0.3273 0.3273 0.4956
Sn: 0.6727 0.6727 0.5044
Sn: 0.9704 0.9704 0.3405

Computed properties:
* DFT formation energy: -3.049 eV/f.u.
* size of the total moment: 0.00 μB/f.u.

***

4.
Density functional theory data (PBE) for a geometry-optimized Ac6InTc2 structure.

Cell: 9.2897 9.2897 9.2897 Å, 112.37 110.84 105.28°
Positions (direct):
Ac: 0.0361 0.2375 0.7986
Ac: 0.1855 0.2824 0.4680
Ac: 0.1855 0.7176 0.9031
Ac: 0.3309 0.0147 0.6838
Ac: 0.3309 0.6471 0.3162
Ac: 0.4388 0.2375 0.2014
Ac: 0.5612 0.7625 0.7986
Ac: 0.6691 0.3529 0.6838
Ac: 0.6691 0.9853 0.3162
Ac: 0.8145 0.2824 0.0969
Ac: 0.8145 0.7176 0.5320
Ac: 0.9639 0.7625 0.2014
In: 0.0000 0.0000 0.0000
In: 0.5000 0.5000 0.0000
Tc: 0.1063 0.6063 0.5000
Tc: 0.3252 0.0000 0.3252
Tc: 0.6748 0.0000 0.6748
Tc: 0.8937 0.3937 0.5000

Computed properties:
* DFT formation energy: -0.324 eV/f.u.
* size of the total moment: 0.00 μB/f.u.

***

5.
Density functional theory data (PBE) for a geometry-optimized LaNd2Ir structure.

Cell: 3.9700 9.9119 6.5015 Å, 90.00 107.74 90.00°
Positions (direct):
La: 0.0834 0.2500 0.1678
La: 0.9166 0.7500 0.8322
Nd: 0.3566 0.0678 0.7129
Nd: 0.3566 0.4322 0.7129
Nd: 0.6434 0.5678 0.2871
Nd: 0.6434 0.9322 0.2871
Ir: 0.2453 0.7500 0.4905
Ir: 0.7547 0.2500 0.5095

Computed properties:
* DFT formation energy: -1.723 eV/f.u.
* size of the total moment: 0.00 μB/f.u.
* polymorph energy (0 for the lowest one): 0.036 eV per atom